{"formula": "Ca2MnInO4", "functional": "PBE with a Hubbard U", "state": "optimized geometry", "cell": [[3.402, 0.000, 0.000], [0.000, 5.909, 0.124], [0.000, -2.052, 5.446]], "species": ["Ca", "Ca", "Mn", "In", "O", "O", "O", "O"], "frac_coords": [[0.500, 0.000, 0.500], [0.000, 0.500, 0.500], [0.000, 0.000, 0.000], [0.500, 0.500, 0.000], [0.500, 0.240, 0.247], [0.500, 0.760, 0.753], [0.000, 0.239, 0.751], [0.000, 0.761, 0.249]], "spacegroup": "P2/m (10)", "density_kg_m3": 4723, "final_energy_ev_per_cell": -50.4}